[1]
The following is a PBE calculation of crystalline PrEr2Mg4 at its relaxed geometry, from Alexandria.

Cell: 5.974 12.879 5.535 Å, 90.00 90.00 90.00°
Space group Cmmm (No. 65)
Inequivalent atoms, fractional coordinates:
Pr 0.000 0.000 0.000 [2 per cell]
Er 0.000 0.368 0.500 [4 per cell]
Mg 0.000 0.123 0.500 [4 per cell]
Mg 0.000 0.254 0.000 [4 per cell]

Results
Size of the total moment ... 0.00 μB/f.u.
E_form ... 0.3626 eV per atom
Crystal system ... orthorhombic
Offset from the most stable computed form ... 1.52 eV/f.u.

***

[2]
The following is a PBE calculation of crystalline AcSm2HoTl2 at its relaxed geometry, from Alexandria.

Cell: 4.892 9.518 8.533 Å, 90.00 90.00 90.00°
Space group Pmc2_1 (No. 26)
Inequivalent atoms, fractional coordinates:
Ac 0.000 0.084 0.000 [2 per cell]
Sm 0.000 0.325 0.384 [2 per cell]
Sm 0.500 0.421 0.050 [2 per cell]
Ho 0.500 0.190 0.665 [2 per cell]
Tl 0.000 0.374 0.756 [2 per cell]
Tl 0.500 0.126 0.290 [2 per cell]

Results
Size of the total moment ... 1.91 μB/f.u.
E_form ... -0.2447 eV per atom
Crystal system ... orthorhombic

***

Copy entry 2 word for word.
The following is a PBE calculation of crystalline AcSm2HoTl2 at its relaxed geometry, from Alexandria.

Cell: 4.892 9.518 8.533 Å, 90.00 90.00 90.00°
Space group Pmc2_1 (No. 26)
Inequivalent atoms, fractional coordinates:
Ac 0.000 0.084 0.000 [2 per cell]
Sm 0.000 0.325 0.384 [2 per cell]
Sm 0.500 0.421 0.050 [2 per cell]
Ho 0.500 0.190 0.665 [2 per cell]
Tl 0.000 0.374 0.756 [2 per cell]
Tl 0.500 0.126 0.290 [2 per cell]

Results
Size of the total moment ... 1.91 μB/f.u.
E_form ... -0.2447 eV per atom
Crystal system ... orthorhombic